! CoRh | Alexandria | SCAN | PBEsol geometry; values from VASP
! SG = Pm (6)
! ΔE_f = 0.1 eV per formula unit
&SYSTEM
  ibrav = 0, nat = 6, ntyp = 2
/
ATOMIC_SPECIES
Rh 102.91 Rh.upf
Co 58.93 Co.upf
CELL_PARAMETERS angstrom
-1.110 -0.128 -2.349
4.029 -0.524 -1.874
-0.572 -6.186 0.608
ATOMIC_POSITIONS crystal
Rh 0.000 0.330 0.669
Rh 0.000 0.667 0.323
Rh 0.500 0.834 0.676
Co 0.000 0.012 0.009
Co 0.500 0.167 0.320
Co 0.500 0.490 0.004

! YFe2TcAu | Alexandria | SCAN | PBEsol geometry; values from VASP
! SG = P4/mmm (123)
! ΔE_f = 5.8 eV per formula unit
&SYSTEM
  ibrav = 0, nat = 5, ntyp = 4
/
ATOMIC_SPECIES
Y 88.91 Y.upf
Au 196.97 Au.upf
Tc 98.00 Tc.upf
Fe 55.84 Fe.upf
CELL_PARAMETERS angstrom
-1.769 -0.097 -4.269
4.256 -0.422 -1.754
-0.396 -5.163 0.281
ATOMIC_POSITIONS crystal
Y 0.000 0.000 0.500
Au 0.000 0.000 0.000
Tc 0.500 0.500 0.500
Fe 0.000 0.500 0.000
Fe 0.500 0.000 0.000

! Na4Sc2Si4O13 | Alexandria | SCAN | PBEsol geometry; values from VASP
! SG = Pna2_1 (33)
! Raw formation energy = -3.0352 eV per atom
&SYSTEM
  ibrav = 0, nat = 92, ntyp = 4
/
ATOMIC_SPECIES
Na 22.99 Na.upf
Sc 44.96 Sc.upf
Si 28.09 Si.upf
O 16.00 O.upf
CELL_PARAMETERS angstrom
-4.271 -1.716 2.622
7.321 -11.262 4.554
4.175 7.431 11.665
ATOMIC_POSITIONS crystal
Na 0.193 0.051 0.212
Na 0.826 0.578 0.917
Na 0.220 0.698 0.835
Na 0.780 0.302 0.335
Na 0.174 0.330 0.622
Na 0.307 0.551 0.212
Na 0.826 0.670 0.122
Na 0.693 0.449 0.712
Na 0.326 0.922 0.417
Na 0.674 0.078 0.917
Na 0.174 0.422 0.417
Na 0.720 0.802 0.335
Na 0.280 0.198 0.835
Na 0.807 0.949 0.712
Na 0.326 0.830 0.622
Na 0.674 0.170 0.122
Sc 0.310 0.670 0.421
Sc 0.190 0.170 0.421
Sc 0.652 0.921 0.126
Sc 0.810 0.830 0.921
Sc 0.848 0.421 0.126
Sc 0.348 0.079 0.626
Sc 0.152 0.579 0.626
Sc 0.690 0.330 0.921
Si 0.650 0.477 0.500
Si 0.700 0.059 0.320
Si 0.673 0.273 0.546
Si 0.300 0.941 0.820
Si 0.850 0.977 0.500
Si 0.350 0.523 0.000
Si 0.327 0.727 0.046
Si 0.827 0.773 0.546
Si 0.175 0.807 0.228
Si 0.173 0.227 0.046
Si 0.800 0.559 0.320
Si 0.325 0.307 0.228
Si 0.200 0.441 0.820
Si 0.825 0.193 0.728
Si 0.675 0.693 0.728
Si 0.150 0.023 0.000
O 0.114 0.854 0.842
O 0.515 0.373 0.524
O 0.435 0.228 0.989
O 0.207 0.033 0.886
O 0.318 0.276 0.337
O 0.682 0.724 0.837
O 0.793 0.967 0.386
O 0.293 0.533 0.886
O 0.888 0.826 0.193
O 0.368 0.894 0.216
O 0.246 0.468 0.711
O 0.036 0.690 0.531
O 0.565 0.772 0.489
O 0.065 0.728 0.989
O 0.406 0.074 0.347
O 0.927 0.945 0.016
O 0.073 0.055 0.516
O 0.906 0.426 0.847
O 0.272 0.717 0.160
O 0.935 0.272 0.489
O 0.612 0.326 0.193
O 0.536 0.810 0.031
O 0.427 0.555 0.516
O 0.754 0.532 0.211
O 0.407 0.016 0.058
O 0.985 0.873 0.524
O 0.112 0.174 0.693
O 0.573 0.445 0.016
O 0.093 0.516 0.058
O 0.886 0.146 0.342
O 0.632 0.106 0.716
O 0.594 0.926 0.847
O 0.728 0.283 0.660
O 0.094 0.574 0.347
O 0.907 0.484 0.558
O 0.388 0.674 0.693
O 0.254 0.968 0.711
O 0.818 0.224 0.837
O 0.228 0.217 0.160
O 0.772 0.783 0.660
O 0.614 0.646 0.342
O 0.746 0.032 0.211
O 0.182 0.776 0.337
O 0.132 0.394 0.216
O 0.015 0.127 0.024
O 0.868 0.606 0.716
O 0.464 0.190 0.531
O 0.964 0.310 0.031
O 0.593 0.984 0.558
O 0.386 0.354 0.842
O 0.485 0.627 0.024
O 0.707 0.467 0.386

! ReSnAu3 | Alexandria | SCAN | PBEsol geometry; values from VASP
! SG = Pm-3m (221)
! ΔE_f = 8.0 eV per formula unit
&SYSTEM
  ibrav = 0, nat = 5, ntyp = 3
/
ATOMIC_SPECIES
Re 186.21 Re.upf
Au 196.97 Au.upf
Sn 118.71 Sn.upf
CELL_PARAMETERS angstrom
-0.050 -0.250 -5.021
1.567 -4.771 0.222
-4.776 -1.563 0.126
ATOMIC_POSITIONS crystal
Re 0.500 0.500 0.500
Au 0.000 0.500 0.000
Au 0.000 0.000 0.500
Au 0.500 0.000 0.000
Sn 0.000 0.000 0.000

! Mg2CrCu | Alexandria | SCAN | PBEsol geometry; values from VASP
! SG = P4/mmm (123)
! ΔE_f = 0.4 eV per formula unit
&SYSTEM
  ibrav = 0, nat = 4, ntyp = 3
/
ATOMIC_SPECIES
Cr 52.00 Cr.upf
Cu 63.55 Cu.upf
Mg 24.30 Mg.upf
CELL_PARAMETERS angstrom
3.933 0.000 0.000
0.000 4.053 0.034
0.000 -0.034 4.053
ATOMIC_POSITIONS crystal
Cr 0.500 0.000 0.000
Cu 0.500 0.500 0.500
Mg 0.000 0.500 0.000
Mg 0.000 0.000 0.500

! Si2WSe | Alexandria | SCAN | PBEsol geometry; values from VASP
! SG = Cmmm (65)
! Raw formation energy = 0.5334 eV per atom
&SYSTEM
  ibrav = 0, nat = 4, ntyp = 3
/
ATOMIC_SPECIES
Se 78.96 Se.upf
Si 28.09 Si.upf
W 183.84 W.upf
CELL_PARAMETERS angstrom
2.703 -0.005 0.000
-0.520 2.652 0.000
0.000 0.000 9.314
ATOMIC_POSITIONS crystal
Se 0.500 0.500 0.000
Si 0.000 0.000 0.289
Si 0.000 0.000 0.711
W 0.500 0.500 0.500

! CdTeMo2 | Alexandria | SCAN | PBEsol geometry; values from VASP
! SG = P2/m (10)
! Raw formation energy = 0.6860 eV per atom
&SYSTEM
  ibrav = 0, nat = 4, ntyp = 3
/
ATOMIC_SPECIES
Cd 112.41 Cd.upf
Mo 95.94 Mo.upf
Te 127.60 Te.upf
CELL_PARAMETERS angstrom
2.996 0.000 -0.019
0.000 4.598 0.000
-0.196 0.000 5.455
ATOMIC_POSITIONS crystal
Cd 0.000 0.500 0.500
Mo 0.636 0.000 0.715
Mo 0.364 0.000 0.285
Te 0.500 0.500 0.000

! LiReRh | Alexandria | SCAN | PBEsol geometry; values from VASP
! SG = Fmm2 (42)
! ΔE_f = 0.5 eV per formula unit
&SYSTEM
  ibrav = 0, nat = 3, ntyp = 3
/
ATOMIC_SPECIES
Li 6.94 Li.upf
Re 186.21 Re.upf
Rh 102.91 Rh.upf
CELL_PARAMETERS angstrom
2.645 -0.018 0.000
-1.170 2.372 0.000
-0.737 -1.177 6.768
ATOMIC_POSITIONS crystal
Li 0.996 0.996 0.993
Re 0.672 0.672 0.343
Rh 0.332 0.332 0.664

Number 1: ρ 11.1 g/cm³, calculated volume 73 Å³ per cell. Number 2: ρ 7.4 g/cm³, calculated volume 111 Å³ per cell. Number 3: ρ 3.1 g/cm³, calculated volume 1085 Å³ per cell. Number 4: ρ 11.7 g/cm³, calculated volume 127 Å³ per cell. Number 5: ρ 4.2 g/cm³, calculated volume 65 Å³ per cell. Number 6: ρ 7.9 g/cm³, calculated volume 67 Å³ per cell. Number 7: ρ 9.5 g/cm³, calculated volume 75 Å³ per cell. Number 8: ρ 11.6 g/cm³, calculated volume 42 Å³ per cell.